1.
The following is a DFT calculation (PBE) of BaLa2SbN after structural relaxation.

Geometry as CIF:
```
data_BaLa2SbN
_chemical_formula_sum 'Ba1 La2 Sb1 N1'
_symmetry_space_group_name_H-M 'P 4/m m m'
_symmetry_Int_Tables_number 123
_symmetry_space_group_name_Hall '-P 4 2'
_cell_length_a 5.0770
_cell_length_b 5.0770
_cell_length_c 5.5605
_cell_angle_alpha 90.00
_cell_angle_beta 90.00
_cell_angle_gamma 90.00
loop_
_atom_site_label
_atom_site_type_symbol
_atom_site_fract_x
_atom_site_fract_y
_atom_site_fract_z
Ba1 Ba 0.0000 0.0000 0.0000
La1 La 0.0000 0.5000 0.5000
Sb1 Sb 0.5000 0.5000 0.0000
N1 N 0.0000 0.0000 0.5000
```

Uncorrected energy in eV per atom: -5.761
N(E_F) in states/eV/atom: 0.798
Formation energy (no corrections) in eV per atom: -0.92


2.
The following is a DFT calculation (PBE) of Pa2GaCo3Ni12 after structural relaxation.

Geometry as CIF:
```
data_Pa2GaCo3Ni12
_chemical_formula_sum 'Pa6 Ga3 Co9 Ni36'
_symmetry_space_group_name_H-M 'R -3 m'
_symmetry_Int_Tables_number 166
_symmetry_space_group_name_Hall '-R 3 2"'
_cell_length_a 8.1450
_cell_length_b 8.1450
_cell_length_c 12.1648
_cell_angle_alpha 90.00
_cell_angle_beta 90.00
_cell_angle_gamma 120.00
loop_
_atom_site_label
_atom_site_type_symbol
_atom_site_fract_x
_atom_site_fract_y
_atom_site_fract_z
Pa1 Pa 0.0000 0.0000 0.2358
Ga1 Ga 0.0000 0.0000 0.5000
Co1 Co 0.0000 0.5000 0.0000
Ni1 Ni 0.0103 0.5051 0.2067
Ni2 Ni 0.0380 0.5190 0.6017
```

Uncorrected energy in eV per atom: -6.371
N(E_F) in states/eV/atom: 1.124
Formation enthalpy at 0 K in eV per atom: -0.109


3.
The following is a DFT calculation (PBE) of Hg4RuRh after structural relaxation.

Geometry as CIF:
```
data_Hg4RuRh
_chemical_formula_sum 'Hg16 Ru4 Rh4'
_symmetry_space_group_name_H-M 'F -4 3 m'
_symmetry_Int_Tables_number 216
_symmetry_space_group_name_Hall 'F -4 2 3'
_cell_length_a 7.8758
_cell_length_b 7.8758
_cell_length_c 7.8758
_cell_angle_alpha 90.00
_cell_angle_beta 90.00
_cell_angle_gamma 90.00
loop_
_atom_site_label
_atom_site_type_symbol
_atom_site_fract_x
_atom_site_fract_y
_atom_site_fract_z
Hg1 Hg 0.1250 0.1250 0.1250
Ru1 Ru 0.0000 0.0000 0.5000
Rh1 Rh 0.2500 0.2500 0.7500
```

Uncorrected energy in eV per atom: -2.122
N(E_F) in states/eV/atom: 1.204
Formation enthalpy at 0 K in eV per atom: 0.851


4.
The following is a DFT calculation (PBE) of CdHPd3 after structural relaxation.

Geometry as CIF:
```
data_CdHPd3
_chemical_formula_sum 'Cd4 H4 Pd12'
_symmetry_space_group_name_H-M 'C 1 m 1'
_symmetry_Int_Tables_number 8
_symmetry_space_group_name_Hall 'C -2y'
_cell_length_a 9.9810
_cell_length_b 5.7915
_cell_length_c 4.9691
_cell_angle_alpha 90.00
_cell_angle_beta 108.55
_cell_angle_gamma 90.00
loop_
_atom_site_label
_atom_site_type_symbol
_atom_site_fract_x
_atom_site_fract_y
_atom_site_fract_z
Cd1 Cd 0.0000 0.0000 0.0000
Cd2 Cd 0.2407 0.5000 0.4661
H1 H 0.1323 0.5000 0.8459
H2 H 0.3718 0.0000 0.2710
Pd1 Pd 0.2425 0.0000 0.4863
Pd2 Pd 0.2454 0.2475 0.9791
Pd3 Pd 0.4882 0.0000 0.9852
Pd4 Pd 0.4928 0.2511 0.4912
```

Uncorrected energy in eV per atom: -4.227
N(E_F) in states/eV/atom: 0.367
Excess energy over the best structure of this formula in the dataset in meV per atom: 29


5.
The following is a DFT calculation (PBE) of CePrZnBi after structural relaxation.

Geometry as CIF:
```
data_CePrZnBi
_chemical_formula_sum 'Ce4 Pr4 Zn4 Bi4'
_symmetry_space_group_name_H-M 'F -4 3 m'
_symmetry_Int_Tables_number 216
_symmetry_space_group_name_Hall 'F -4 2 3'
_cell_length_a 7.6917
_cell_length_b 7.6917
_cell_length_c 7.6917
_cell_angle_alpha 90.00
_cell_angle_beta 90.00
_cell_angle_gamma 90.00
loop_
_atom_site_label
_atom_site_type_symbol
_atom_site_fract_x
_atom_site_fract_y
_atom_site_fract_z
Ce1 Ce 0.0000 0.0000 0.0000
Pr1 Pr 0.0000 0.0000 0.5000
Zn1 Zn 0.2500 0.2500 0.2500
Bi1 Bi 0.2500 0.2500 0.7500
```

Uncorrected energy in eV per atom: -4.370
N(E_F) in states/eV/atom: 2.342
Formation enthalpy at 0 K in eV per atom: -0.403


6.
The following is a DFT calculation (PBE) of Na2UIrO8 after structural relaxation.

Geometry as CIF:
```
data_Na2UIrO8
_chemical_formula_sum 'Na2 U1 Ir1 O8'
_symmetry_space_group_name_H-M 'P 1 2/m 1'
_symmetry_Int_Tables_number 10
_symmetry_space_group_name_Hall '-P 2y'
_cell_length_a 5.1376
_cell_length_b 6.5291
_cell_length_c 5.1612
_cell_angle_alpha 90.00
_cell_angle_beta 92.11
_cell_angle_gamma 90.00
loop_
_atom_site_label
_atom_site_type_symbol
_atom_site_fract_x
_atom_site_fract_y
_atom_site_fract_z
Na1 Na 0.0000 0.2433 0.0000
U1 U 0.5000 0.5000 0.5000
Ir1 Ir 0.5000 0.0000 0.5000
O1 O 0.2379 0.5000 0.2360
O2 O 0.2488 0.0000 0.2464
O3 O 0.3250 0.2256 0.6717
```

Uncorrected energy in eV per atom: -6.853
N(E_F) in states/eV/atom: 0.298
Formation energy (no corrections) in eV per atom: -1.65


Q: What is the uncorrected energy in the fourth record?
A: -4.227 eV per atom